This record from the Alexandria database describes HfSi2HgRh after structural relaxation. The functional is PBE.

abc: 4.5343 4.5343 5.1715
angles: 90.00 90.00 90.00
With the nearest neighbours (Å) after each atom.
Atoms (fractional coordinates):
Si 0.5000 0.0000 0.0000  2 Rh 2.27
Si 0.0000 0.5000 0.0000  2 Rh 2.27
Hf 0.0000 0.0000 0.5000  2 Rh 2.59
Hg 0.5000 0.5000 0.5000  4 Hf 3.21, 8 Si 3.44
Rh 0.0000 0.0000 0.0000  4 Si 2.27

The space group is No. 123. For the formation energy from raw total energies, the calculation gives 19 kJ per mole of atoms. Its total magnetic moment is 0.00 Bohr magnetons per cell. As for the calculated total energy: -5.4969 eV per atom.

This record from the Alexandria database describes La6PmCd2 after structural relaxation. The functional is PBE.

abc: 3.9202 6.8856 12.2503
angles: 75.05 80.79 73.46
With the nearest neighbours (Å) after each atom.
Atoms (fractional coordinates):
Cd 0.6454 0.9067 0.8025  2 Pm 3.25, 6 La 3.35-3.46
Cd 0.3546 0.0933 0.1975  2 Pm 3.25, 6 La 3.35-3.46
La 0.6803 0.5161 0.1233  2 Cd 3.36, 5 La 3.59-3.69, 2 Pm 3.76
La 0.6892 0.2119 0.4098  2 Cd 3.46, 8 La 3.59-3.77
La 0.9778 0.7074 0.3370  2 Cd 3.35, 5 La 3.63-3.74
La 0.3108 0.7881 0.5902  2 Cd 3.46, 8 La 3.59-3.77
La 0.0222 0.2926 0.6630  2 Cd 3.35, 5 La 3.63-3.74
La 0.3197 0.4839 0.8767  2 Cd 3.36, 5 La 3.59-3.69, 2 Pm 3.76
Pm 0.0000 0.0000 0.0000  4 Cd 3.25

For the energy above the lowest structure with this stoichiometry, the calculation gives 0.0 meV per atom. The space group is No. 12. Its total magnetic moment is 0.00 Bohr magnetons per cell. The calculated formation energy comes out at -141 meV per atom. As for the calculated total energy: -4.1568 eV per atom.

This record from the Alexandria database describes Na2HfRe3O12 after structural relaxation. The functional is PBE.

abc: 7.4364 7.4364 7.4364
angles: 59.05 59.05 59.05
With the nearest neighbours (Å) after each atom.
Atoms (fractional coordinates):
O 0.3053 0.3053 0.9373  2 Re 1.92
O 0.9301 0.3348 0.9301  1 Re 1.91, 1 Hf 2.09
O 0.0627 0.6947 0.6947  2 Re 1.92
O 0.3348 0.9301 0.9301  1 Re 1.91, 1 Hf 2.09
O 0.0699 0.6652 0.0699  1 Re 1.91, 1 Hf 2.09
O 0.6947 0.6947 0.0627  2 Re 1.92
O 0.9301 0.9301 0.3348  1 Re 1.91, 1 Hf 2.09
O 0.3053 0.9373 0.3053  2 Re 1.92
O 0.6652 0.0699 0.0699  1 Re 1.91, 1 Hf 2.09
O 0.0699 0.0699 0.6652  1 Re 1.91, 1 Hf 2.09
O 0.6947 0.0627 0.6947  2 Re 1.92
O 0.9373 0.3053 0.3053  2 Re 1.92
Re 0.0000 0.0000 0.5000  6 O 1.91-1.92
Re 0.0000 0.5000 0.0000  6 O 1.91-1.92
Re 0.5000 0.0000 0.0000  6 O 1.91-1.92
Hf 0.0000 0.0000 0.0000  6 O 2.09
Na 0.3026 0.3026 0.3026  6 O 2.60-2.70
Na 0.6974 0.6974 0.6974  6 O 2.60-2.70

The space group is No. 166. For the formation energy from raw total energies, the calculation gives -180 kJ per mole of atoms. Its total magnetic moment is 2.35 Bohr magnetons per cell. As for the calculated total energy: -7.9448 eV per atom.

This record from the Alexandria database describes Nd3PtAuCl after structural relaxation. The functional is PBE.

abc: 4.3203 8.2182 9.5742
angles: 103.09 90.00 90.00
With the nearest neighbours (Å) after each atom.
Atoms (fractional coordinates):
Cl 0.7500 0.8965 0.4121  3 Nd 2.76-2.84, 2 Cl 3.02
Cl 0.2500 0.1035 0.5879  3 Nd 2.76-2.84, 2 Cl 3.02
Nd 0.7500 0.9100 0.1268  1 Cl 2.76, 2 Pt 2.96
Nd 0.7500 0.2967 0.5210  2 Cl 2.84, 1 Pt 3.08
Nd 0.2500 0.5684 0.8410  3 Pt 2.90-2.94, 2 Au 3.05
Nd 0.2500 0.7033 0.4790  2 Cl 2.84, 1 Pt 3.08
Nd 0.2500 0.0900 0.8732  1 Cl 2.76, 2 Pt 2.96
Nd 0.7500 0.4316 0.1590  3 Pt 2.90-2.94, 2 Au 3.05
Pt 0.2500 0.6723 0.1518  6 Nd 2.90-3.08
Pt 0.7500 0.3277 0.8482  6 Nd 2.90-3.08
Au 0.2500 0.2056 0.2357  5 Nd 3.05-3.38
Au 0.7500 0.7944 0.7643  5 Nd 3.05-3.38

The space group is No. 11. For the formation energy from raw total energies, the calculation gives -97 kJ per mole of atoms. Its total magnetic moment is 0.00 Bohr magnetons per cell. As for the calculated total energy: -5.2463 eV per atom.

This record from the Alexandria database describes InAg5Br8 after structural relaxation. The functional is PBE.

abc: 8.5979 8.5979 8.5979
angles: 108.56 108.56 111.31
With the nearest neighbours (Å) after each atom.
Atoms (fractional coordinates):
Ag 0.7666 0.2322 0.7178  3 Br 2.65-2.70
Ag 0.7678 0.4856 0.5344  3 Br 2.65-2.70
Ag 0.5144 0.0488 0.2822  3 Br 2.65-2.70
Ag 0.9512 0.2334 0.4656  3 Br 2.65-2.70
Ag 0.5000 0.5000 0.0000  4 Br 2.72
Br 0.5617 0.4003 0.7020  3 Ag 2.65-2.72
Br 0.0926 0.8258 0.6986  1 In 2.56, 1 Ag 2.70
Br 0.6060 0.9074 0.7332  1 In 2.56, 1 Ag 2.70
Br 0.1742 0.8728 0.2668  1 In 2.56, 1 Ag 2.70
Br 0.5997 0.3017 0.1614  3 Ag 2.65-2.72
Br 0.6983 0.8597 0.2980  3 Ag 2.65-2.72
Br 0.1272 0.3940 0.3014  1 In 2.56, 1 Ag 2.70
Br 0.1403 0.4383 0.8386  3 Ag 2.65-2.72
In 0.2500 0.7500 0.5000  4 Br 2.56

The space group is No. 82. For the formation energy from raw total energies, the calculation gives -41 kJ per mole of atoms. Its total magnetic moment is 0.00 Bohr magnetons per cell. As for the calculated total energy: -2.5997 eV per atom.

This record from the Alexandria database describes AlGe2PbO6 after structural relaxation. The functional is PBE.

abc: 6.6843 7.3367 7.3367
angles: 79.78 65.95 65.95
With the nearest neighbours (Å) after each atom.
Atoms (fractional coordinates):
Al 0.7500 0.8048 0.1952  4 O 1.76-1.77
Al 0.2500 0.1952 0.8048  4 O 1.76-1.77
O 0.6914 0.7950 0.9831  1 Al 1.77, 1 Ge 1.79
O 0.9084 0.2675 0.3904  2 Ge 1.85-1.93
O 0.4084 0.3904 0.2675  2 Ge 1.85-1.93
O 0.1914 0.9831 0.7950  1 Al 1.77, 1 Ge 1.79
O 0.5182 0.1810 0.6090  1 Al 1.76, 1 Ge 1.79
O 0.3086 0.2050 0.0169  1 Al 1.77, 1 Ge 1.79
O 0.5916 0.6096 0.7325  2 Ge 1.85-1.93
O 0.0182 0.6090 0.1810  1 Al 1.76, 1 Ge 1.79
O 0.4818 0.8190 0.3910  1 Al 1.76, 1 Ge 1.79
O 0.8086 0.0169 0.2050  1 Al 1.77, 1 Ge 1.79
O 0.0916 0.7325 0.6096  2 Ge 1.85-1.93
O 0.9818 0.3910 0.8190  1 Al 1.76, 1 Ge 1.79
Ge 0.6545 0.2387 0.3515  4 O 1.79-1.93
Ge 0.1545 0.3515 0.2387  4 O 1.79-1.93
Ge 0.8455 0.6485 0.7613  4 O 1.79-1.93
Ge 0.3455 0.7613 0.6485  4 O 1.79-1.93
Pb 0.2500 0.7973 0.2027  6 O 2.52-2.75
Pb 0.7500 0.2027 0.7973  6 O 2.52-2.75

The space group is No. 15. For the formation energy from raw total energies, the calculation gives -167 kJ per mole of atoms. Its total magnetic moment is 0.00 Bohr magnetons per cell. As for the calculated total energy: -6.3757 eV per atom.

This record from the Alexandria database describes SrNd4Se5 after structural relaxation. The functional is PBE.

abc: 4.2433 7.4201 9.5466
angles: 75.05 77.16 73.39
With the nearest neighbours (Å) after each atom.
Atoms (fractional coordinates):
Se 0.6058 0.6895 0.0988  4 Nd 3.01-3.08, 2 Sr 3.06
Se 0.8014 0.0934 0.3039  5 Nd 3.01-3.03, 1 Sr 3.04
Se 0.0000 0.5000 0.5000  6 Nd 2.93-2.96
Se 0.1986 0.9066 0.6961  5 Nd 3.01-3.03, 1 Sr 3.04
Se 0.3942 0.3105 0.9012  4 Nd 3.01-3.08, 2 Sr 3.06
Sr 0.0000 0.0000 0.0000  6 Se 3.04-3.06
Nd 0.8039 0.6041 0.7882  6 Se 2.93-3.08
Nd 0.1961 0.3959 0.2118  6 Se 2.93-3.08
Nd 0.4032 0.7898 0.4039  6 Se 2.96-3.07
Nd 0.5968 0.2102 0.5961  6 Se 2.96-3.07

For the energy above the lowest structure with this stoichiometry, the calculation gives 0.0 meV per atom. The space group is No. 12. For the formation energy from raw total energies, the calculation gives -181 kJ per mole of atoms. Its total magnetic moment is 0.00 Bohr magnetons per cell. As for the calculated total energy: -5.6899 eV per atom.

This record from the Alexandria database describes NiIr2Se after structural relaxation. The functional is PBE.

abc: 8.2899 8.2899 8.2899
angles: 19.98 19.98 19.98
With the nearest neighbours (Å) after each atom.
Atoms (fractional coordinates):
Ni 0.2500 0.2500 0.2500  6 Ir 2.60, 6 Ni 2.88
Ir 0.9989 0.9989 0.9989  3 Ni 2.60, 3 Se 2.64, 6 Ir 2.88
Ir 0.5011 0.5011 0.5011  3 Ni 2.60, 3 Se 2.64, 6 Ir 2.88
Se 0.7500 0.7500 0.7500  6 Ir 2.64, 6 Se 2.88

For the energy above the lowest structure with this stoichiometry, the calculation gives 142.1 meV per atom. The space group is No. 166. For the formation energy from raw total energies, the calculation gives 37 kJ per mole of atoms. Its total magnetic moment is 0.75 Bohr magnetons per cell. As for the calculated total energy: -6.3655 eV per atom.

This record from the Alexandria database describes InB2Ru2 after structural relaxation. The functional is PBE.

abc: 2.9337 2.9337 7.4875
angles: 78.70 78.70 90.00
With the nearest neighbours (Å) after each atom.
Atoms (fractional coordinates):
Ru 0.6396 0.6396 0.7208  4 B 2.16
Ru 0.3604 0.3604 0.2792  4 B 2.16
B 0.7500 0.2500 0.5000  4 B 2.07, 4 Ru 2.16
B 0.2500 0.7500 0.5000  4 B 2.07, 4 Ru 2.16
In 0.0000 0.0000 0.0000  8 Ru 2.89, 4 In 2.93

The space group is No. 139. Its total magnetic moment is 0.00 Bohr magnetons per cell. The calculated formation energy comes out at -83 meV per atom. As for the calculated total energy: -7.0121 eV per atom.

This record from the Alexandria database describes La2TbPr5Ho after structural relaxation. The functional is PBE.

abc: 8.6892 8.6892 10.4903
angles: 114.47 114.47 90.00
With the nearest neighbours (Å) after each atom.
Atoms (fractional coordinates):
La 0.3776 0.8776 0.0000  1 La 3.01, 2 Pr 3.12
La 0.1224 0.3776 0.0000  1 La 3.01, 2 Pr 3.12
La 0.6224 0.1224 0.0000  1 La 3.01, 2 Pr 3.12
La 0.8776 0.6224 0.0000  1 La 3.01, 2 Pr 3.12
Pr 0.0000 0.0000 0.0000  4 La 3.45
Pr 0.9230 0.4230 0.2900  1 La 3.12, 1 Ho 3.26
Pr 0.4230 0.3670 0.2900  1 La 3.12, 1 Ho 3.26
Pr 0.0770 0.5770 0.7100  1 La 3.12, 1 Ho 3.26
Pr 0.8670 0.9230 0.2900  1 La 3.12, 1 Ho 3.26
Pr 0.5770 0.6330 0.7100  1 La 3.12, 1 Ho 3.26
Pr 0.1330 0.0770 0.7100  1 La 3.12, 1 Ho 3.26
Pr 0.5000 0.5000 0.0000  4 La 3.45
Pr 0.3670 0.8670 0.2900  1 La 3.12, 1 Ho 3.26
Pr 0.6330 0.1330 0.7100  1 La 3.12, 1 Ho 3.26
Ho 0.2500 0.7500 0.5000  4 Pr 3.26
Ho 0.7500 0.2500 0.5000  4 Pr 3.26
Tb 0.7500 0.7500 0.5000  8 Pr 3.57
Tb 0.2500 0.2500 0.5000  8 Pr 3.57

The space group is No. 140. Its total magnetic moment is 0.00 Bohr magnetons per cell. The calculated formation energy comes out at 245 meV per atom. As for the calculated total energy: -4.5287 eV per atom.

This record from the Alexandria database describes ScAg3B after structural relaxation. The functional is PBE.

abc: 4.4098 4.4098 4.4098
angles: 90.00 90.00 90.00
With the nearest neighbours (Å) after each atom.
Atoms (fractional coordinates):
B 0.0000 0.0000 0.0000  6 Ag 2.20
Ag 0.0000 0.0000 0.5000  2 B 2.20
Ag 0.5000 0.0000 0.0000  2 B 2.20
Ag 0.0000 0.5000 0.0000  2 B 2.20
Sc 0.5000 0.5000 0.5000  12 Ag 3.12

For the energy above the lowest structure with this stoichiometry, the calculation gives 0.0 meV per atom. The space group is No. 221. Its total magnetic moment is 0.00 Bohr magnetons per cell. The calculated formation energy comes out at 219 meV per atom. As for the calculated total energy: -4.0939 eV per atom.